<one>
{"formula": "KLi2Sc", "functional": "SCAN", "state": "PBEsol geometry", "n_ef_per_ev_atom": 0.619, "lattice": [[5.8365, 0.0000, 0.0000], [0.0000, 5.8365, 0.0000], [0.0000, 0.0000, 3.2747]], "species": ["K", "Li", "Li", "Sc"], "fractional_positions": [[0.0000, 0.0000, 0.0000], [0.0000, 0.5000, 0.5000], [0.5000, 0.0000, 0.5000], [0.5000, 0.5000, 0.0000]]}

=====

<two>
{"formula": "KLi2Sc", "functional": "SCAN", "state": "PBEsol geometry", "n_ef_per_ev_atom": 0.984, "lattice": [[3.5816, 0.0000, 0.0000], [0.0000, 3.5816, 0.0000], [0.0000, 0.0000, 9.0431]], "species": ["K", "Li", "Li", "Sc"], "fractional_positions": [[0.0000, 0.0000, 0.0000], [0.5000, 0.5000, 0.3038], [0.5000, 0.5000, 0.6962], [0.0000, 0.0000, 0.5000]]}

=====

Computed energies relative to the best structure, in kJ/mol of atoms: <one> 7.5; <two> 0.0

=====

<one>
{"formula": "KLiSc2", "functional": "SCAN", "state": "PBEsol geometry", "n_ef_per_ev_atom": 1.397, "lattice": [[3.2658, 0.0000, 0.0000], [0.0000, 5.5767, 0.0000], [0.0000, 0.0000, 12.4469]], "species": ["K", "K", "Li", "Li", "Sc", "Sc", "Sc", "Sc"], "fractional_positions": [[0.0000, 0.0000, 0.0000], [0.5000, 0.5000, 0.5000], [0.0000, 0.0000, 0.5000], [0.5000, 0.5000, 0.0000], [0.0000, 0.5000, 0.2318], [0.0000, 0.5000, 0.7682], [0.5000, 0.0000, 0.2682], [0.5000, 0.0000, 0.7318]]}

=====

<two>
{"formula": "KLiSc2", "functional": "SCAN", "state": "PBEsol geometry", "n_ef_per_ev_atom": 0.894, "lattice": [[3.3358, 0.0000, 0.0000], [0.0000, 6.0882, 0.0000], [0.0000, 0.0000, 11.3292]], "species": ["K", "K", "Li", "Li", "Sc", "Sc", "Sc", "Sc"], "fractional_positions": [[0.0000, 0.0000, 0.0000], [0.5000, 0.5000, 0.5000], [0.0000, 0.5000, 0.2546], [0.5000, 0.0000, 0.7546], [0.0000, 0.0000, 0.5279], [0.0000, 0.5000, 0.7931], [0.5000, 0.0000, 0.2931], [0.5000, 0.5000, 0.0279]]}

=====

Computed energies relative to the best structure, in kJ/mol of atoms: <one> 0.0; <two> 8.6

=====

<one>
{"formula": "KLi3Sc", "functional": "SCAN", "state": "PBEsol geometry", "n_ef_per_ev_atom": 1.268, "lattice": [[5.7814, 0.0000, 0.0000], [0.0000, 5.7814, 0.0000], [0.0000, 0.0000, 5.7814]], "species": ["K", "Li", "Li", "Li", "Sc"], "fractional_positions": [[0.0000, 0.0000, 0.0000], [0.0000, 0.5000, 0.5000], [0.5000, 0.0000, 0.5000], [0.5000, 0.5000, 0.0000], [0.5000, 0.5000, 0.5000]]}

=====

<two>
{"formula": "KLi3Sc", "functional": "SCAN", "state": "PBEsol geometry", "n_ef_per_ev_atom": 0.874, "lattice": [[5.1154, 0.0000, 0.0000], [0.0000, 5.1154, 0.0000], [0.0000, 0.0000, 5.1154]], "species": ["K", "Li", "Li", "Li", "Sc"], "fractional_positions": [[0.0000, 0.0000, 0.0000], [0.0000, 0.0000, 0.5000], [0.0000, 0.5000, 0.0000], [0.5000, 0.0000, 0.0000], [0.5000, 0.5000, 0.5000]]}

=====

Computed energies relative to the best structure, in kJ/mol of atoms: <one> 0.0; <two> 14.0